## CaGaI2O (PBE)

Data for crystalline CaGaI2O at its relaxed geometry.

- SG: P4/mmm, No. 123
- Crystal system: tetragonal
- Raw total energy: -17.3 eV/cell
- Offset from the most stable computed form: 72 meV/atom
- Raw formation energy: -0.8360 eV per atom
- Total magnetization: 1.0 μB per formula unit

abc: 6.2383 6.2383 4.3870
angles: 90.00 90.00 90.00
Fractional positions:
Ca: 0.0000 0.0000 0.0000
Ga: 0.5000 0.5000 0.5000
I: 0.0000 0.5000 0.0000
I: 0.5000 0.0000 0.0000
O: 0.0000 0.0000 0.5000